Density functional theory data (GGA-PBE) for PC after structural relaxation.

Cell: 3.822 3.822 3.822 Å, 60.00 60.00 60.00°
Atoms (fractional coordinates):
P: 0.750 0.750 0.750
P: 0.500 0.500 0.500
C: 0.250 0.250 0.250
C: 0.000 0.000 0.000

## Properties
The calculation puts the formation energy at 2.52 eV per atom. For the magnetization, the calculation gives 0.00 μB/atom. Its crystal system is cubic.

=====

Density functional theory data (GGA-PBE) for MgOs after structural relaxation.

Cell: 3.697 3.697 3.697 Å, 60.00 60.00 60.00°
Last column: magnetic moment on the atom in μB.
Atoms (fractional coordinates):
Mg: 0.500 0.500 0.500  -0.02
Os: 0.000 0.000 0.000  1.25

## Properties
The calculation puts the formation energy at 1.50 eV per atom. For the magnetization, the calculation gives 0.64 μB/atom. Its crystal system is cubic.

=====

Density functional theory data (GGA-PBE) for CsSeN2F after structural relaxation.

Cell: 3.879 3.879 5.989 Å, 90.00 90.00 90.00°
Last column: magnetic moment on the atom in μB.
Atoms (fractional coordinates):
F: 0.000 0.000 0.500  -0.01
N: 0.500 0.000 0.000  0.31
N: 0.000 0.500 0.000  0.31
Se: 0.000 0.000 0.000  -0.03
Cs: 0.500 0.500 0.500  0.00

## Properties
For the magnetization, the calculation gives 0.16 μB/atom. As for the raw formation energy: 192 kJ/mol of formula units. Its crystal system is tetragonal.

=====

Density functional theory data (GGA-PBE) for K2Rh3Se6 after structural relaxation.

Cell: 6.583 6.586 7.708 Å, 81.83 73.47 60.01°
Atoms (fractional coordinates):
K: 0.167 0.666 0.500
K: 0.833 0.334 0.500
Se: 0.721 0.000 0.830
Se: 0.611 0.331 0.169
Se: 0.389 0.669 0.831
Se: 0.279 0.000 0.170
Se: 0.058 0.331 0.831
Se: 0.942 0.669 0.169
Rh: 0.668 0.665 0.000
Rh: 0.332 0.335 0.000
Rh: 0.000 0.000 0.000

## Properties
For the magnetization, the calculation gives 0.00 μB/atom. As for the raw formation energy: -673 kJ/mol of formula units. Its crystal system is monoclinic.

=====

Density functional theory data (GGA-PBE) for NiC2N after structural relaxation.

Cell: 4.220 4.220 4.504 Å, 62.07 62.07 90.00°
Atoms (fractional coordinates):
C: 0.875 0.806 0.750
C: 0.556 0.125 0.250
C: 0.375 0.444 0.750
C: 0.194 0.625 0.250
Ni: 0.000 0.000 0.000
Ni: 0.750 0.250 0.500
N: 0.250 0.750 0.500
N: 0.500 0.500 0.000

## Properties
For the magnetization, the calculation gives 0.00 μB/atom. As for the raw formation energy: 444 kJ/mol of formula units. Its crystal system is tetragonal.

=====

Density functional theory data (GGA-PBE) for Pr2Zn4CdAu3 after structural relaxation.

Cell: 4.273 4.273 11.592 Å, 90.00 90.00 90.00°
Atoms (fractional coordinates):
Au: 0.500 0.000 0.863
Au: 0.000 0.000 0.500
Au: 0.000 0.500 0.137
Cd: 0.500 0.500 0.500
Pr: 0.500 0.000 0.240
Pr: 0.000 0.500 0.760
Zn: 0.000 0.000 0.000
Zn: 0.500 0.000 0.642
Zn: 0.500 0.500 0.000
Zn: 0.000 0.500 0.358

## Properties
The calculation puts the formation energy at -0.48 eV per atom. For the magnetization, the calculation gives 0.00 μB/atom. Its crystal system is tetragonal.

=====

Density functional theory data (GGA-PBE) for MgZnRu2 after structural relaxation.

Cell: 4.719 4.719 4.707 Å, 80.83 80.83 34.90°
Atoms (fractional coordinates):
Zn: 0.506 0.506 0.506
Mg: 0.749 0.749 0.737
Ru: 0.254 0.254 0.230
Ru: 0.991 0.991 0.027

## Properties
The calculation puts the formation energy at 0.05 eV per atom. For the magnetization, the calculation gives 0.00 μB/atom. Its crystal system is monoclinic.

=====

Density functional theory data (GGA-PBE) for RbPt after structural relaxation.

Cell: 7.186 7.186 6.500 Å, 90.00 90.00 90.00°
Atoms (fractional coordinates):
Rb: 0.696 0.696 0.500
Rb: 0.804 0.196 0.000
Rb: 0.196 0.804 0.000
Rb: 0.304 0.304 0.500
Pt: 0.878 0.122 0.500
Pt: 0.378 0.378 0.000
Pt: 0.622 0.622 0.000
Pt: 0.122 0.878 0.500

## Properties
The calculation puts the formation energy at 0.53 eV per atom. For the magnetization, the calculation gives 0.00 μB/atom. Its crystal system is tetragonal.

=====

Density functional theory data (GGA-PBE) for Pm2Dy2ErTm after structural relaxation.

Cell: 5.619 6.976 9.737 Å, 90.00 90.00 90.00°
Atoms (fractional coordinates):
Er: 0.500 0.758 0.341
Er: 0.500 0.258 0.659
Dy: 0.500 0.758 0.669
Dy: 0.500 0.258 0.331
Dy: 0.000 0.258 0.837
Dy: 0.000 0.758 0.163
Pm: 0.500 0.508 0.000
Pm: 0.000 0.758 0.822
Pm: 0.000 0.258 0.178
Pm: 0.500 0.008 0.000
Tm: 0.000 0.008 0.500
Tm: 0.000 0.508 0.500

## Properties
The calculation puts the formation energy at 0.07 eV per atom. For the magnetization, the calculation gives 0.00 μB/atom. Its crystal system is orthorhombic.

=====

Density functional theory data (GGA-PBE) for Sc2B4Os5 after structural relaxation.

Cell: 3.026 8.567 10.160 Å, 90.00 90.00 90.00°
Atoms (fractional coordinates):
Os: 0.000 0.000 0.500
Os: 0.000 0.159 0.952
Os: 0.000 0.659 0.548
Os: 0.000 0.404 0.738
Os: 0.000 0.596 0.262
Os: 0.000 0.841 0.048
Os: 0.000 0.500 0.000
Os: 0.000 0.096 0.238
Os: 0.000 0.341 0.452
Os: 0.000 0.904 0.762
B: 0.500 0.462 0.590
B: 0.500 0.538 0.410
B: 0.500 0.962 0.910
B: 0.500 0.148 0.398
B: 0.500 0.352 0.898
B: 0.500 0.038 0.090
B: 0.500 0.648 0.102
B: 0.500 0.852 0.602
Sc: 0.500 0.844 0.320
Sc: 0.500 0.156 0.680
Sc: 0.500 0.656 0.820
Sc: 0.500 0.344 0.180

## Properties
The calculation puts the formation energy at -0.46 eV per atom. For the magnetization, the calculation gives 0.00 μB/atom. Its crystal system is orthorhombic.

=====

Density functional theory data (GGA-PBE) for SrLa2Pd3 after structural relaxation.

Cell: 3.684 3.684 11.266 Å, 90.00 90.00 90.00°
Atoms (fractional coordinates):
Pd: 0.000 0.000 0.000
Pd: 0.000 0.000 0.690
Pd: 0.000 0.000 0.310
Sr: 0.500 0.500 0.500
La: 0.500 0.500 0.834
La: 0.500 0.500 0.166

## Properties
The calculation puts the formation energy at -0.73 eV per atom. For the magnetization, the calculation gives 0.00 μB/atom. Its crystal system is tetragonal.

=====

Density functional theory data (GGA-PBE) for LaRe after structural relaxation.

Cell: 4.716 6.006 4.113 Å, 90.00 90.00 113.12°
Atoms (fractional coordinates):
La: 0.146 0.293 0.250
La: 0.854 0.707 0.750
Re: 0.443 0.885 0.250
Re: 0.557 0.115 0.750

## Properties
The calculation puts the formation energy at 0.24 eV per atom. For the magnetization, the calculation gives 0.00 μB/atom. Its crystal system is orthorhombic.

=====

Density functional theory data (GGA-PBE) for Ac2ThRu2 after structural relaxation.

Cell: 6.647 6.647 7.592 Å, 80.89 80.89 59.85°
Atoms (fractional coordinates):
Th: 0.931 0.069 0.750
Th: 0.069 0.931 0.250
Ac: 0.762 0.552 0.350
Ac: 0.448 0.238 0.150
Ac: 0.552 0.762 0.850
Ac: 0.238 0.448 0.650
Ru: 0.289 0.024 0.470
Ru: 0.711 0.976 0.530
Ru: 0.024 0.289 0.970
Ru: 0.976 0.711 0.030

## Properties
The calculation puts the formation energy at -0.28 eV per atom. For the magnetization, the calculation gives 0.00 μB/atom. Its crystal system is monoclinic.

=====

Density functional theory data (GGA-PBE) for LiHfB after structural relaxation.

Cell: 3.449 3.449 7.324 Å, 76.39 103.61 90.00°
Atoms (fractional coordinates):
Li: 0.496 0.727 0.188
Li: 0.996 0.227 0.188
Hf: 0.320 0.403 0.835
Hf: 0.672 0.050 0.541
B: 0.850 0.872 0.896
B: 0.142 0.581 0.480

## Properties
The calculation puts the formation energy at -0.14 eV per atom. For the magnetization, the calculation gives 0.05 μB/atom. Its crystal system is tetragonal.

=====

Density functional theory data (GGA-PBE) for MgTe2P after structural relaxation.

Cell: 8.409 8.409 3.994 Å, 80.25 80.25 24.13°
Atoms (fractional coordinates):
Te: 0.981 0.981 0.007
Te: 0.753 0.753 0.715
P: 0.202 0.202 0.328
Mg: 0.563 0.563 0.450

## Properties
For the magnetization, the calculation gives 0.00 μB/atom. As for the raw formation energy: -38 kJ/mol of formula units. Its crystal system is monoclinic.

=====

Density functional theory data (GGA-PBE) for La3Pr2Sm6 after structural relaxation.

Cell: 6.015 6.591 12.043 Å, 80.29 68.30 62.85°
Atoms (fractional coordinates):
La: 0.000 0.000 0.000
La: 0.319 0.361 0.000
La: 0.681 0.639 0.000
Sm: 0.186 0.000 0.232
Sm: 0.495 0.311 0.287
Sm: 0.807 0.689 0.287
Sm: 0.505 0.689 0.713
Sm: 0.193 0.311 0.713
Sm: 0.814 0.000 0.768
Pr: 0.140 0.719 0.500
Pr: 0.860 0.281 0.500

## Properties
The calculation puts the formation energy at 0.15 eV per atom. For the magnetization, the calculation gives 0.00 μB/atom. Its crystal system is monoclinic.

=====

Density functional theory data (GGA-PBE) for Nd3Sn2Pd6 after structural relaxation.

Cell: 8.484 8.484 8.484 Å, 109.47 109.47 109.47°
Atoms (fractional coordinates):
Pd: 0.660 0.340 0.000
Pd: 0.660 0.320 0.660
Pd: 0.340 0.000 0.660
Pd: 0.680 0.340 0.340
Pd: 0.340 0.660 0.000
Pd: 0.660 0.660 0.320
Pd: 0.320 0.660 0.660
Pd: 0.340 0.680 0.340
Pd: 0.000 0.340 0.660
Pd: 0.660 0.000 0.340
Pd: 0.000 0.660 0.340
Pd: 0.340 0.340 0.680
Nd: 0.000 0.288 0.288
Nd: 0.000 0.712 0.712
Nd: 0.288 0.000 0.288
Nd: 0.712 0.000 0.712
Nd: 0.712 0.712 0.000
Nd: 0.288 0.288 0.000
Sn: 0.500 0.000 0.000
Sn: 0.000 0.000 0.500
Sn: 0.000 0.500 0.000
Sn: 0.500 0.500 0.500

## Properties
The calculation puts the formation energy at -0.78 eV per atom. For the magnetization, the calculation gives 0.00 μB/atom. Its crystal system is cubic.

=====

Density functional theory data (GGA-PBE) for BeCd2 after structural relaxation.

Cell: 7.586 7.586 4.650 Å, 90.00 90.00 156.74°
Atoms (fractional coordinates):
Cd: 0.437 0.563 0.750
Cd: 0.139 0.861 0.750
Cd: 0.861 0.139 0.250
Cd: 0.563 0.437 0.250
Be: 0.777 0.223 0.750
Be: 0.223 0.777 0.250

## Properties
The calculation puts the formation energy at 0.36 eV per atom. For the magnetization, the calculation gives 0.00 μB/atom. Its crystal system is orthorhombic.

=====

Density functional theory data (GGA-PBE) for Ho2Ga5Co2Rh after structural relaxation.

Cell: 3.978 9.084 9.084 Å, 90.00 90.00 90.00°
Atoms (fractional coordinates):
Ho: 0.000 0.181 0.319
Ho: 0.000 0.681 0.181
Ho: 0.000 0.319 0.819
Ho: 0.000 0.819 0.681
Rh: 0.000 0.500 0.500
Rh: 0.000 0.000 0.000
Ga: 0.500 0.204 0.059
Ga: 0.500 0.704 0.441
Ga: 0.500 0.796 0.941
Ga: 0.500 0.000 0.500
Ga: 0.500 0.441 0.296
Ga: 0.500 0.559 0.704
Ga: 0.500 0.941 0.204
Ga: 0.500 0.500 0.000
Ga: 0.500 0.296 0.559
Ga: 0.500 0.059 0.796
Co: 0.000 0.114 0.614
Co: 0.000 0.886 0.386
Co: 0.000 0.614 0.886
Co: 0.000 0.386 0.114

## Properties
The calculation puts the formation energy at -0.45 eV per atom. For the magnetization, the calculation gives 0.00 μB/atom. Its crystal system is tetragonal.

=====

Density functional theory data (GGA-PBE) for Fe2ReOs after structural relaxation.

Cell: 8.616 8.616 8.616 Å, 17.80 17.80 17.80°
Last column: magnetic moment on the atom in μB.
Atoms (fractional coordinates):
Re: 0.750 0.750 0.750  -0.20
Os: 0.250 0.250 0.250  -0.01
Fe: 0.500 0.500 0.500  1.45
Fe: 0.000 0.000 0.000  1.45

## Properties
The calculation puts the formation energy at 0.17 eV per atom. For the magnetization, the calculation gives 0.67 μB/atom. Its crystal system is trigonal.